Compound: ThUOs4
Source: the Alexandria database
Functional: PBE-GGA
Structure: optimized geometry

CIF file:
```
data_ThUOs4
_space_group_name_H-M_alt 'F -4 3 m'
_space_group_IT_number 216
_space_group_name_Hall 'F -4 2 3'
_cell_length_a 7.631
_cell_length_b 7.631
_cell_length_c 7.631
_cell_angle_alpha 90.00
_cell_angle_beta 90.00
_cell_angle_gamma 90.00
loop_
_atom_site_label
_atom_site_fract_x
_atom_site_fract_y
_atom_site_fract_z
Th1 0.000 0.000 0.000
U1 0.250 0.250 0.750
Os1 0.125 0.125 0.375
```

Output
Total magnetization (μB/f.u.): 2.06
Formation energy from the elements (eV per atom): -0.139

Compound: ThU2Os
Source: the Alexandria database
Functional: PBE-GGA
Structure: optimized geometry

CIF file:
```
data_ThU2Os
_space_group_name_H-M_alt 'R -3 m'
_space_group_IT_number 166
_space_group_name_Hall '-R 3 2"'
_cell_length_a 4.7674
_cell_length_b 4.7674
_cell_length_c 13.5359
_cell_angle_alpha 90.00
_cell_angle_beta 90.00
_cell_angle_gamma 120.00
loop_
_atom_site_label
_atom_site_fract_x
_atom_site_fract_y
_atom_site_fract_z
Th1 0.0000 0.0000 0.0000
U1 0.0000 0.0000 0.2392
Os1 0.0000 0.0000 0.5000
```

Output
Total magnetization (μB/f.u.): 4.51
Formation energy from the elements (eV per atom): 0.359

Compound: ThV2Os
Source: the Alexandria database
Functional: PBE-GGA
Structure: optimized geometry

CIF file:
```
data_ThV2Os
_space_group_name_H-M_alt 'F m -3 m'
_space_group_IT_number 225
_space_group_name_Hall '-F 4 2 3'
_cell_length_a 6.450
_cell_length_b 6.450
_cell_length_c 6.450
_cell_angle_alpha 90.00
_cell_angle_beta 90.00
_cell_angle_gamma 90.00
loop_
_atom_site_label
_atom_site_fract_x
_atom_site_fract_y
_atom_site_fract_z
Th1 0.000 0.000 0.000
V1 0.250 0.250 0.250
Os1 0.000 0.000 0.500
```

Output
Total magnetization (μB/f.u.): 0.00
Formation energy from the elements (eV per atom): 0.120

Compound: Th2VOs
Source: the Alexandria database
Functional: PBE-GGA
Structure: optimized geometry

CIF file:
```
data_Th2VOs
_space_group_name_H-M_alt 'R -3 m'
_space_group_IT_number 166
_space_group_name_Hall '-R 3 2"'
_cell_length_a 3.2638
_cell_length_b 3.2638
_cell_length_c 30.4567
_cell_angle_alpha 90.00
_cell_angle_beta 90.00
_cell_angle_gamma 120.00
loop_
_atom_site_label
_atom_site_fract_x
_atom_site_fract_y
_atom_site_fract_z
Th1 0.0000 0.0000 0.0902
V1 0.0000 0.0000 0.0000
Os1 0.0000 0.0000 0.5000
```

Output
Total magnetization (μB/f.u.): 2.24
Formation energy from the elements (eV per atom): 0.764

Compound: ThOs2W
Source: the Alexandria database
Functional: PBE-GGA
Structure: optimized geometry

CIF file:
```
data_ThOs2W
_space_group_name_H-M_alt 'R -3 m'
_space_group_IT_number 166
_space_group_name_Hall '-R 3 2"'
_cell_length_a 4.2665
_cell_length_b 4.2665
_cell_length_c 15.7238
_cell_angle_alpha 90.00
_cell_angle_beta 90.00
_cell_angle_gamma 120.00
loop_
_atom_site_label
_atom_site_fract_x
_atom_site_fract_y
_atom_site_fract_z
Th1 0.0000 0.0000 0.0000
Os1 0.0000 0.0000 0.2156
W1 0.0000 0.0000 0.5000
```

Output
Total magnetization (μB/f.u.): 0.00
Formation energy from the elements (eV per atom): 0.102

Compound: YThOs2
Source: the Alexandria database
Functional: PBE-GGA
Structure: optimized geometry

CIF file:
```
data_YThOs2
_space_group_name_H-M_alt 'F m -3 m'
_space_group_IT_number 225
_space_group_name_Hall '-F 4 2 3'
_cell_length_a 6.992
_cell_length_b 6.992
_cell_length_c 6.992
_cell_angle_alpha 90.00
_cell_angle_beta 90.00
_cell_angle_gamma 90.00
loop_
_atom_site_label
_atom_site_fract_x
_atom_site_fract_y
_atom_site_fract_z
Y1 0.000 0.000 0.000
Th1 0.000 0.000 0.500
Os1 0.250 0.250 0.250
```

Output
E above lowest polymorph (eV per formula unit): 0.01
Total magnetization (μB/f.u.): 0.00
Formation energy from the elements (eV per atom): -0.147

- Number 6 is which compound?
  YThOs2